Entry 1:
First-principles (GGA+U) data for an optimized crystal structure of NaWF6, as listed in Alexandria.

Computed properties:
space group = No. 12

Cell: 5.1691 5.1691 5.4396 Å, 96.07 96.07 115.58°
Site moments in Bohr magnetons follow the coordinates.
Element x y z (fractional)
F: 0.1514 0.4505 0.2784  0.02
F: 0.2636 0.2636 0.7134  -0.01
F: 0.5495 0.8486 0.7216  0.02
F: 0.8486 0.5495 0.7216  0.02
F: 0.7364 0.7364 0.2866  -0.01
F: 0.4505 0.1514 0.2784  0.02
W: 0.5000 0.5000 0.5000  0.98
Na: 0.0000 0.0000 0.0000  0.00



Entry 2:
First-principles (GGA+U) data for an optimized crystal structure of NaWF6, as listed in Alexandria.

Computed properties:
space group = No. 2

Cell: 5.3957 5.4765 6.0433 Å, 62.60 62.58 59.68°
Site moments in Bohr magnetons follow the coordinates.
Element x y z (fractional)
Na: 0.5000 0.5000 0.5000  0.00
F: 0.2280 0.8973 0.2207  0.01
F: 0.1046 0.3503 0.7747  0.03
F: 0.3406 0.7735 0.7735  0.01
F: 0.8954 0.6497 0.2253  0.03
F: 0.6594 0.2265 0.2265  0.01
F: 0.7720 0.1027 0.7793  0.01
W: 0.0000 0.0000 0.0000  0.98



Record order is preserved below.
Energy above the most stable polymorph in this dataset: 33.2, 0.0 meV per atom
Record order is preserved below.
N(E_F): 0.00, 0.00 states/eV/f.u.